# Fe5Br5O2 | Alexandria | GGA+U | optimized geometry
# total DFT energy (no corrections): -4.618 eV per atom
# size of the total moment: 19.04 μB/f.u.
# calculated volume: 333.45 Å³/f.u.
# density of states at the Fermi level: 0.057 states/eV/atom
data_Fe5Br5O2
_chemical_formula_sum 'Fe5 Br5 O2'
_symmetry_space_group_name_H-M 'P 1'
_symmetry_Int_Tables_number 1
_symmetry_space_group_name_Hall 'P 1'
_cell_length_a 3.581
_cell_length_b 10.188
_cell_length_c 9.353
_cell_angle_alpha 83.17
_cell_angle_beta 90.00
_cell_angle_gamma 100.12
loop_
_atom_site_label
_atom_site_type_symbol
_atom_site_fract_x
_atom_site_fract_y
_atom_site_fract_z
Fe1 Fe 0.066 0.132 0.286
Fe2 Fe 0.579 0.157 0.739
Fe3 Fe 0.421 0.843 0.261
Fe4 Fe 0.934 0.868 0.714
Fe5 Fe 0.000 0.000 0.000
Br1 Br 0.500 0.000 0.500
Br2 Br 0.649 0.299 0.207
Br3 Br 0.834 0.667 0.343
Br4 Br 0.166 0.333 0.657
Br5 Br 0.351 0.701 0.793
O1 O 0.020 0.040 0.797
O2 O 0.980 0.960 0.203